No. 1
Entry from Alexandria via LeMat-Bulk: a PBEsol-optimized structure of LiTi2P3O12 (SCAN).

Properties
**Symmetry**: P1
**Energy relative to the lowest polymorph listed for this composition**: 1.2 kJ/mol of atoms
**ΔE_f (raw)**: -2.81 eV per atom
**D(E_F)**: 0.00 states/eV per cell

```
LiTi2P3O12
1.0
8.3483 0.0000 0.0000
-4.1625 7.2618 0.0000
-0.0288 -4.7866 7.4432
Li Ti P O
2 4 6 24
Cartesian
0.0000 0.0000 0.0000
0.7968 0.1058 7.3923
-1.0835 -2.1051 6.8472
-1.0161 2.7414 5.9101
3.1799 0.2771 3.2469
3.1649 5.0599 2.2005
-2.1809 5.5028 0.8200
0.1654 -0.1003 4.5782
2.0015 2.3089 0.7926
4.9613 -2.1403 4.5053
5.5199 0.2450 0.8449
4.3513 3.0145 4.5770
-0.4212 -0.8005 3.3483
-2.4863 3.1969 4.8085
-2.3416 1.7529 7.1197
-1.2484 4.3272 0.4192
-0.6971 1.1175 4.9527
0.2493 -1.0497 5.8076
0.4902 2.0531 0.5146
2.5490 -1.1231 2.0823
1.5920 0.3570 4.2904
2.8311 -3.0114 7.0740
2.3872 1.6221 2.0982
0.2405 3.7493 4.9332
0.4066 2.0836 7.2141
2.2170 3.8406 0.9006
3.8498 -1.1111 4.3963
1.5116 4.9625 3.1553
4.8187 0.3922 2.1799
4.0063 1.5417 4.4230
2.5659 6.5325 0.9469
5.9726 -1.6578 5.5768
6.0864 1.6115 0.3919
3.9555 3.7808 3.3091
3.5795 3.5217 5.8156
4.7332 5.0125 1.0770
```

***

No. 2
Entry from Alexandria via LeMat-Bulk: a PBEsol-optimized structure of Li3Ti2P3O12 (SCAN).

Properties
**Symmetry**: Ia-3d
**Energy relative to the lowest polymorph listed for this composition**: 3.4 kJ/mol of atoms
**ΔE_f (raw)**: -2.71 eV per atom

```
Li3Ti2P3O12
1.0
-5.8826 5.8826 5.8826
5.8826 -5.8826 5.8826
5.8826 5.8826 -5.8826
Li Ti P O
12 8 12 48
Cartesian
2.9413 1.4706 0.0000
5.8826 2.9413 -1.4706
1.4706 0.0000 2.9413
7.3532 0.0000 2.9413
0.0000 2.9413 1.4706
2.9413 -1.4706 5.8826
2.9413 7.3532 0.0000
5.8826 2.9413 4.4119
-1.4706 5.8826 2.9413
4.4119 5.8826 2.9413
0.0000 2.9413 7.3532
2.9413 4.4119 5.8826
0.0000 0.0000 0.0000
2.9413 2.9413 -2.9413
2.9413 -2.9413 2.9413
5.8826 0.0000 0.0000
-2.9413 2.9413 2.9413
0.0000 5.8826 0.0000
0.0000 0.0000 5.8826
2.9413 2.9413 2.9413
8.8239 1.4706 0.0000
5.8826 -2.9413 4.4119
4.4119 5.8826 -2.9413
4.4119 0.0000 2.9413
2.9413 4.4119 0.0000
5.8826 2.9413 1.4706
0.0000 2.9413 4.4119
2.9413 1.4706 5.8826
1.4706 5.8826 2.9413
1.4706 0.0000 8.8239
0.0000 8.8239 1.4706
-2.9413 4.4119 5.8826
1.8680 -0.5020 0.5661
6.9559 3.5074 -3.4433
7.7505 0.5020 0.5661
6.9559 -2.3752 3.4433
5.3806 -0.5661 1.8680
9.3259 -1.0733 2.3752
0.5661 1.8680 -0.5020
8.2578 2.4393 -1.0733
3.5074 3.4433 -1.0733
5.3165 1.8680 0.5020
-0.5020 0.5661 1.8680
3.4433 -1.0733 3.5074
5.3806 5.3165 -1.8680
3.4433 1.0733 2.3752
3.5074 -3.4433 6.9559
5.3165 -1.8680 5.3806
2.3752 3.4433 1.0733
6.4487 4.0146 0.5020
3.4433 6.9559 -2.3752
5.3806 0.5661 4.0146
1.8680 5.3806 -0.5661
6.9559 2.3752 2.4393
1.0733 2.3752 3.4433
1.8680 0.5020 5.3165
4.0146 5.3806 0.5661
4.8093 3.5074 2.4393
-1.0733 3.5074 3.4433
4.0146 0.5020 6.4487
0.5020 5.3165 1.8680
2.4393 -1.0733 8.2578
-0.5661 1.8680 5.3806
3.5074 2.4393 4.8093
0.5661 7.7505 0.5020
2.3752 9.3259 -1.0733
2.4393 4.8093 3.5074
0.5020 0.5661 7.7505
2.4393 6.9559 2.3752
6.3846 5.3165 4.0146
0.5661 4.0146 5.3806
2.3752 2.4393 6.9559
-2.3752 3.4433 6.9559
5.3165 4.0146 6.3846
-3.4433 6.9559 3.5074
0.5020 6.4487 4.0146
-1.0733 8.2578 2.4393
-1.8680 5.3806 5.3165
-1.0733 2.3752 9.3259
4.0146 6.3846 5.3165
```

***

No. 3
Entry from Alexandria via LeMat-Bulk: a PBEsol-optimized structure of LiTi2P3O12 (SCAN).

Properties
**Symmetry**: P2_12_12
**Energy relative to the lowest polymorph listed for this composition**: 0.8 kJ/mol of atoms
**ΔE_f (raw)**: -2.81 eV per atom
**D(E_F)**: 0.00 states/eV per cell

```
LiTi2P3O12
1.0
8.6329 0.0000 0.0000
0.0000 11.9510 0.0000
0.0000 0.0000 8.5767
Li Ti P O
4 8 12 48
Cartesian
0.2342 2.1541 3.9637
4.0822 8.1296 4.6130
4.5506 3.8214 4.6130
8.3987 9.7970 3.9637
1.8246 4.6305 4.2655
1.8777 1.4420 8.5726
2.4387 7.4175 0.0041
2.4919 10.6060 4.3112
6.1410 1.3451 4.3112
6.1942 4.5335 0.0041
6.7551 10.5090 8.5726
6.8083 7.3206 4.2655
0.0000 0.0000 6.1438
0.0000 5.9755 1.8009
1.2201 7.7366 5.5423
1.2198 10.2386 1.2318
3.0963 1.7611 3.0344
3.0966 4.2631 7.3449
4.3164 0.0000 6.7758
4.3164 5.9755 2.4329
5.5363 7.6879 7.3449
5.5366 10.1899 3.0344
7.4130 1.7124 1.2318
7.4127 4.2144 5.5423
0.1918 3.8227 5.0471
0.2483 1.9957 0.8678
0.7996 11.0217 5.1738
0.8529 6.8895 0.9454
0.8886 5.0911 2.7139
0.9088 0.8930 6.9644
1.3005 7.8269 7.0494
1.3070 10.1403 2.7862
1.5462 6.3072 5.0445
1.6464 11.6237 0.7583
2.0577 2.7058 3.6872
2.1491 3.2181 7.9455
2.1673 9.1936 0.6312
2.2587 8.6813 4.8895
2.6701 5.6481 7.8184
2.7703 0.3317 3.5322
3.0159 1.8514 1.5273
3.0094 4.1648 5.7905
3.4077 6.8685 1.6123
3.4278 11.0667 5.8628
3.4635 0.9139 7.6313
3.5168 5.0462 3.4029
4.0681 7.9712 7.7090
4.1247 9.7982 3.5296
4.5082 2.1528 3.5296
4.5648 3.9798 7.7090
5.1161 6.9049 3.4029
5.1693 11.0371 7.6313
5.2050 0.8844 5.8628
5.2252 5.0825 1.6123
5.6234 7.7862 5.7905
5.6170 10.0996 1.5273
5.8626 11.6194 3.5322
5.9628 6.3029 7.8184
6.3742 3.2697 4.8895
6.4655 2.7574 0.6312
6.4838 8.7329 7.9455
6.5752 9.2452 3.6872
6.9865 0.3274 0.7583
7.0867 5.6438 5.0445
7.3259 1.8107 2.7862
7.3323 4.1241 7.0494
7.7241 11.0580 6.9644
7.7443 6.8599 2.7139
7.7800 5.0616 0.9454
7.8333 0.9293 5.1738
8.3845 9.9553 0.8678
8.4411 8.1284 5.0471
```

***

No. 4
Entry from Alexandria via LeMat-Bulk: a PBEsol-optimized structure of Li6Ti3VP6O24 (SCAN).

Properties
**Symmetry**: P1
**ΔE_f (raw)**: -2.68 eV per atom
**D(E_F)**: 9.58 states/eV per cell

```
Li6Ti3VP6O24
1.0
8.4104 0.0000 0.0000
3.8750 7.5422 0.0000
3.9280 2.4384 7.1288
Li Ti V P O
6 3 1 6 24
Cartesian
0.0000 0.0000 0.0000
6.1117 7.8756 3.6932
4.6848 3.8435 3.2005
6.4979 5.6486 1.0898
10.5384 6.1640 5.6871
10.3351 3.2800 4.7941
3.9299 4.2999 0.0673
8.5849 7.2118 2.0981
8.2255 1.8213 3.6371
12.8279 4.6973 5.7172
2.2299 1.7124 1.4285
8.9305 8.9653 4.9377
7.5227 4.9739 4.3131
6.4489 2.2466 0.8103
13.1746 7.9575 6.4591
11.7301 6.0968 2.8856
1.2122 1.5130 0.3050
4.2059 5.3387 1.8524
4.2599 2.7602 4.9674
3.2453 2.8089 1.0877
6.0183 4.7167 4.4982
6.7220 7.8501 1.6833
8.8494 8.3729 6.3783
8.2257 8.0882 3.8878
8.1069 5.8493 5.4509
7.6275 5.6681 2.9319
5.8741 3.6704 0.5200
6.5336 1.5787 4.5862
5.3693 1.2552 1.2221
8.3805 3.6889 4.3109
8.3751 6.2003 0.3994
7.4720 2.3802 1.9368
10.3386 6.4322 2.3670
11.0042 4.1815 6.6022
12.4656 6.6413 6.1057
13.3391 8.8959 5.2265
11.5703 5.1376 4.1043
12.4708 7.4041 3.2282
10.0437 2.1134 2.8085
14.6187 7.7073 6.9360
```

***

No. 5
Entry from Alexandria via LeMat-Bulk: a PBEsol-optimized structure of LiTlP2O (SCAN).

Properties
**Symmetry**: P4/mmm
**ΔE_f (raw)**: 0.48 eV per atom
**D(E_F)**: 3.39 states/eV per cell

```
LiTlP2O
1.0
4.8108 0.0000 0.0000
0.0000 4.8108 0.0000
0.0000 0.0000 3.3834
Li Tl P O
1 1 2 1
Cartesian
0.0000 0.0000 0.0000
2.4054 2.4054 1.6917
0.0000 2.4054 0.0000
2.4054 0.0000 0.0000
0.0000 0.0000 1.6917
```

***

No. 6
Entry from Alexandria via LeMat-Bulk: a PBEsol-optimized structure of LiVP2O7 (SCAN).

Properties
**Symmetry**: Cc
**ΔE_f (raw)**: -2.56 eV per atom

```
LiVP2O7
1.0
3.2055 -4.1091 0.0000
3.2055 4.1091 0.0000
-1.9564 0.0000 8.7593
Li V P O
2 2 4 14
Cartesian
2.2273 2.4828 4.3797
3.2055 -2.4828 0.0000
1.3853 2.6593 8.6790
2.3635 -2.6593 4.2993
0.3643 0.0240 6.9165
1.3425 -0.0240 2.5368
4.3514 0.0618 1.6982
3.3732 -0.0618 6.0779
0.9408 1.2039 3.3668
-0.4129 0.0758 5.5938
0.5653 -0.0758 1.2142
0.3290 1.3054 7.7422
-0.0374 -1.2039 7.7464
1.3072 -1.3054 3.3625
2.8102 0.2003 2.0509
1.8320 -0.2003 6.4305
4.5832 1.3558 0.9143
3.6215 1.2040 5.2536
4.0459 0.0135 7.4562
5.0241 -0.0135 3.0765
4.5997 -1.2040 0.8739
3.6050 -1.3558 5.2940
```

***

No. 7
Entry from Alexandria via LeMat-Bulk: a PBEsol-optimized structure of LiVPO5 (SCAN).

Properties
**Symmetry**: C2/m
**Energy relative to the lowest polymorph listed for this composition**: 9.1 kJ/mol of atoms
**ΔE_f (raw)**: -2.51 eV per atom

```
LiVPO5
1.0
7.2986 -2.8929 0.0000
7.2986 2.8929 0.0000
-1.0265 0.0000 4.9940
Li V P O
2 2 2 10
Cartesian
1.8839 0.0000 0.2875
11.6868 0.0000 4.7065
6.7853 1.6164 2.4970
6.7853 -1.6164 2.4970
4.9735 0.0000 1.3589
8.5972 0.0000 3.6351
0.4368 0.0000 1.6363
5.7451 1.2881 0.8761
3.5194 0.0000 1.1246
7.8256 1.2881 4.1179
5.5194 0.0000 2.8670
8.0513 0.0000 2.1270
5.7451 -1.2881 0.8761
10.0513 0.0000 3.8693
7.8256 -1.2881 4.1179
13.1339 0.0000 3.3576
```

***

No. 8
Entry from Alexandria via LeMat-Bulk: a PBEsol-optimized structure of Li4VP2O8 (SCAN).

Properties
**Symmetry**: P-1
**Energy relative to the lowest polymorph listed for this composition**: 0.0 kJ/mol of atoms
**ΔE_f (raw)**: -2.55 eV per atom
**D(E_F)**: 0.00 states/eV per cell

```
Li4VP2O8
1.0
4.8409 0.0000 0.0000
-0.8247 5.0679 0.0000
-0.3869 -0.5989 6.1155
Li V P O
4 1 2 8
Cartesian
0.5081 1.4736 0.1465
0.8334 2.6662 4.2762
2.7958 1.8028 1.8393
3.1212 2.9955 5.9690
-0.1935 -0.2994 3.0577
1.0137 4.0290 1.4081
2.6156 0.4400 4.7074
0.3183 3.2146 2.5345
0.6265 3.4466 0.0362
1.2639 0.4047 1.5781
1.0724 0.5234 4.5561
2.5569 3.9456 1.5594
2.3654 4.0643 4.5374
3.0028 1.0224 6.0793
3.3110 1.2545 3.5810
```